[1]
! Nd5TmIn2 | the Alexandria database | PBE-GGA | optimized geometry; values from VASP
! Total magnetization, μB per formula unit: 0.0
! E, eV per atom: -4.49
! Space group: Pbam
! Energy above the most stable polymorph in this dataset, meV/atom: 0.0
&SYSTEM
  ibrav = 0, nat = 16, ntyp = 3
/
ATOMIC_SPECIES
Nd 144.24 Nd.upf
Tm 168.93 Tm.upf
In 114.82 In.upf
ATOMIC_POSITIONS crystal
Nd 0.000 0.000 0.000
Nd 0.000 0.500 0.500
Nd 0.000 0.499 0.753
Nd 0.000 0.501 0.247
Nd 0.000 0.001 0.253
Nd 0.000 0.999 0.747
Nd 0.500 0.249 0.876
Nd 0.500 0.751 0.124
Nd 0.500 0.251 0.376
Nd 0.500 0.749 0.624
Tm 0.000 0.000 0.500
Tm 0.000 0.500 0.000
In 0.500 0.245 0.623
In 0.500 0.755 0.377
In 0.500 0.255 0.123
In 0.500 0.745 0.877
CELL_PARAMETERS angstrom
-1.041 0.244 -4.830
-5.775 -3.850 1.050
-7.417 11.723 2.193

---

[2]
! Nd3TmIn3 | the Alexandria database | PBE-GGA | optimized geometry; values from VASP
! Total magnetization, μB per formula unit: 0.0
! E, eV per atom: -4.14
! Space group: C2/m
&SYSTEM
  ibrav = 0, nat = 14, ntyp = 3
/
ATOMIC_SPECIES
Nd 144.24 Nd.upf
Tm 168.93 Tm.upf
In 114.82 In.upf
ATOMIC_POSITIONS crystal
Nd 0.595 0.595 0.318
Nd 0.181 0.819 0.500
Nd 0.819 0.181 0.500
Nd 0.236 0.764 0.000
Nd 0.764 0.236 0.000
Nd 0.405 0.405 0.682
Tm 0.719 0.719 0.960
Tm 0.281 0.281 0.040
In 0.978 0.978 0.230
In 0.948 0.521 0.741
In 0.521 0.948 0.741
In 0.052 0.479 0.259
In 0.479 0.052 0.259
In 0.022 0.022 0.770
CELL_PARAMETERS angstrom
-3.650 -3.678 -4.352
1.438 -4.278 5.041
-8.133 2.983 4.596

---

[3]
! Nd6Tm2In | the Alexandria database | PBE-GGA | optimized geometry; values from VASP
! Total magnetization, μB per formula unit: 0.0
! E, eV per atom: -4.52
! Space group: Ibam
! Energy above the most stable polymorph in this dataset, meV/atom: 22.4
&SYSTEM
  ibrav = 0, nat = 18, ntyp = 3
/
ATOMIC_SPECIES
Nd 144.24 Nd.upf
Tm 168.93 Tm.upf
In 114.82 In.upf
ATOMIC_POSITIONS crystal
Nd 0.719 0.508 0.651
Nd 0.781 0.349 0.492
Nd 0.281 0.492 0.349
Nd 0.219 0.651 0.508
Nd 0.919 0.919 0.419
Nd 0.581 0.581 0.081
Nd 0.081 0.081 0.581
Nd 0.419 0.419 0.919
Nd 0.061 0.849 0.993
Nd 0.439 0.007 0.151
Nd 0.939 0.151 0.007
Nd 0.561 0.993 0.849
Tm 0.576 0.828 0.673
Tm 0.924 0.327 0.172
Tm 0.424 0.172 0.327
Tm 0.076 0.673 0.828
In 0.250 0.250 0.750
In 0.750 0.750 0.250
CELL_PARAMETERS angstrom
6.257 -1.005 0.111
-1.779 9.610 5.955
-3.111 1.861 10.855

---

[4]
! NdTmIn3 | the Alexandria database | PBE-GGA | optimized geometry; values from VASP
! Total magnetization, μB per formula unit: 0.0
! E, eV per atom: -3.67
! Space group: Imma
! Energy above the most stable polymorph in this dataset, meV/atom: 251.2
&SYSTEM
  ibrav = 0, nat = 10, ntyp = 3
/
ATOMIC_SPECIES
Nd 144.24 Nd.upf
Tm 168.93 Tm.upf
In 114.82 In.upf
ATOMIC_POSITIONS crystal
Nd 0.014 0.764 0.750
Nd 0.986 0.236 0.250
Tm 0.500 0.500 0.000
Tm 0.500 0.000 0.500
In 0.500 0.312 0.312
In 0.000 0.688 0.188
In 0.500 0.688 0.688
In 0.000 0.312 0.812
In 0.690 0.940 0.250
In 0.310 0.060 0.750
CELL_PARAMETERS angstrom
-7.218 -2.324 -0.068
1.790 -6.595 -3.287
4.510 1.807 5.822

---

[5]
! NdTm9In2 | the Alexandria database | PBE-GGA | optimized geometry; values from VASP
! Total magnetization, μB per formula unit: 0.0
! E, eV per atom: -4.36
! Space group: P4/mmm
&SYSTEM
  ibrav = 0, nat = 12, ntyp = 3
/
ATOMIC_SPECIES
Nd 144.24 Nd.upf
Tm 168.93 Tm.upf
In 114.82 In.upf
ATOMIC_POSITIONS crystal
Nd 0.000 0.000 0.000
Tm 0.500 0.500 0.000
Tm 0.500 0.500 0.339
Tm 0.500 0.500 0.661
Tm 0.500 0.000 0.175
Tm 0.500 0.000 0.500
Tm 0.500 0.000 0.825
Tm 0.000 0.500 0.175
Tm 0.000 0.500 0.500
Tm 0.000 0.500 0.825
In 0.000 0.000 0.339
In 0.000 0.000 0.661
CELL_PARAMETERS angstrom
4.823 0.000 0.000
0.000 4.823 0.000
0.000 0.000 14.793

---

[6]
! Nd6TmIn2 | the Alexandria database | PBE-GGA | optimized geometry; values from VASP
! Total magnetization, μB per formula unit: 0.0
! E, eV per atom: -4.48
! Space group: C2/m
! Energy above the most stable polymorph in this dataset, meV/atom: 0.0
&SYSTEM
  ibrav = 0, nat = 9, ntyp = 3
/
ATOMIC_SPECIES
Nd 144.24 Nd.upf
Tm 168.93 Tm.upf
In 114.82 In.upf
ATOMIC_POSITIONS crystal
Nd 0.679 0.520 0.122
Nd 0.321 0.480 0.878
Nd 0.307 0.793 0.593
Nd 0.979 0.702 0.340
Nd 0.021 0.298 0.660
Nd 0.693 0.207 0.407
Tm 0.000 0.000 0.000
In 0.360 0.089 0.191
In 0.640 0.911 0.809
CELL_PARAMETERS angstrom
-0.405 2.057 3.207
-4.593 -3.295 3.823
6.379 -6.908 7.525

---

[7]
! NdTm2In9 | the Alexandria database | PBE-GGA | optimized geometry; values from VASP
! Total magnetization, μB per formula unit: 0.0
! E, eV per atom: -3.60
! Space group: P4/mmm
&SYSTEM
  ibrav = 0, nat = 12, ntyp = 3
/
ATOMIC_SPECIES
Nd 144.24 Nd.upf
Tm 168.93 Tm.upf
In 114.82 In.upf
ATOMIC_POSITIONS crystal
Nd 0.000 0.000 0.000
Tm 0.000 0.000 0.335
Tm 0.000 0.000 0.665
In 0.500 0.500 0.000
In 0.500 0.500 0.335
In 0.500 0.500 0.665
In 0.500 0.000 0.172
In 0.500 0.000 0.500
In 0.500 0.000 0.828
In 0.000 0.500 0.172
In 0.000 0.500 0.500
In 0.000 0.500 0.828
CELL_PARAMETERS angstrom
-1.841 1.438 -4.027
3.907 -1.217 -2.220
-5.193 -12.718 -2.168

---

[8]
! Nd3TmIn | the Alexandria database | PBE-GGA | optimized geometry; values from VASP
! Total magnetization, μB per formula unit: 0.0
! E, eV per atom: -4.16
! Space group: Ima2
! Energy above the most stable polymorph in this dataset, meV/atom: 328.3
&SYSTEM
  ibrav = 0, nat = 10, ntyp = 3
/
ATOMIC_SPECIES
Nd 144.24 Nd.upf
Tm 168.93 Tm.upf
In 114.82 In.upf
ATOMIC_POSITIONS crystal
Nd 0.035 0.259 0.720
Nd 0.035 0.815 0.277
Nd 0.538 0.759 0.723
Nd 0.098 0.282 0.317
Nd 0.538 0.315 0.280
Nd 0.965 0.782 0.683
Tm 0.524 0.023 0.001
Tm 0.023 0.523 0.999
In 0.587 0.779 0.308
In 0.472 0.279 0.692
CELL_PARAMETERS angstrom
7.888 -0.553 0.027
-4.353 6.601 -0.027
-3.653 -1.922 6.744

---

[9]
! Nd6TmIn6 | the Alexandria database | PBE-GGA | optimized geometry; values from VASP
! Total magnetization, μB per formula unit: 1.6
! E, eV per atom: -4.13
! Space group: P6/mmm
&SYSTEM
  ibrav = 0, nat = 13, ntyp = 3
/
ATOMIC_SPECIES
Nd 144.24 Nd.upf
Tm 168.93 Tm.upf
In 114.82 In.upf
ATOMIC_POSITIONS crystal
Nd 0.000 0.000 0.670
Nd 0.000 0.000 0.330
Nd 0.333 0.667 0.000
Nd 0.667 0.333 0.000
Nd 0.333 0.667 0.500
Nd 0.667 0.333 0.500
Tm 0.000 0.000 0.000
In 0.000 0.500 0.753
In 0.500 0.000 0.753
In 0.500 0.500 0.753
In 0.500 0.000 0.247
In 0.000 0.500 0.247
In 0.500 0.500 0.247
CELL_PARAMETERS angstrom
6.398 0.000 0.000
-3.199 5.541 0.000
0.000 0.000 11.083

---

[10]
! Nd4TmIn2 | the Alexandria database | PBE-GGA | optimized geometry; values from VASP
! Total magnetization, μB per formula unit: 0.0
! E, eV per atom: -4.04
! Space group: I4/mmm
! Energy above the most stable polymorph in this dataset, meV/atom: 281.8
&SYSTEM
  ibrav = 0, nat = 7, ntyp = 3
/
ATOMIC_SPECIES
Tm 168.93 Tm.upf
Nd 144.24 Nd.upf
In 114.82 In.upf
ATOMIC_POSITIONS crystal
Tm 0.000 0.000 0.000
Nd 0.750 0.250 0.500
Nd 0.250 0.750 0.500
Nd 0.500 0.000 0.000
Nd 0.000 0.500 0.000
In 0.622 0.622 0.244
In 0.378 0.378 0.756
CELL_PARAMETERS angstrom
5.707 0.000 -1.724
-0.521 5.683 -1.725
-0.810 -0.888 7.625

---

[11]
! Nd7Tm2In2 | the Alexandria database | PBE-GGA | optimized geometry; values from VASP
! Total magnetization, μB per formula unit: 0.0
! E, eV per atom: -4.38
! Space group: Imm2
&SYSTEM
  ibrav = 0, nat = 11, ntyp = 3
/
ATOMIC_SPECIES
Nd 144.24 Nd.upf
Tm 168.93 Tm.upf
In 114.82 In.upf
ATOMIC_POSITIONS crystal
Nd 0.822 0.024 0.333
Nd 0.850 0.466 0.833
Nd 0.500 0.036 0.964
Nd 0.605 0.493 0.298
Nd 0.395 0.702 0.507
Nd 0.178 0.667 0.976
Nd 0.150 0.167 0.534
Tm 0.726 0.857 0.691
Tm 0.274 0.309 0.143
In 0.000 0.792 0.208
In 0.500 0.341 0.659
CELL_PARAMETERS angstrom
3.679 0.000 0.000
1.839 10.526 -0.292
1.839 4.733 9.406

---

[12]
! Nd3Tm3In2 | the Alexandria database | PBE-GGA | optimized geometry; values from VASP
! Total magnetization, μB per formula unit: 0.0
! E, eV per atom: -4.31
! Space group: Cmcm
! Energy above the most stable polymorph in this dataset, meV/atom: 96.3
&SYSTEM
  ibrav = 0, nat = 16, ntyp = 3
/
ATOMIC_SPECIES
Nd 144.24 Nd.upf
Tm 168.93 Tm.upf
In 114.82 In.upf
ATOMIC_POSITIONS crystal
Nd 0.954 0.909 0.397
Nd 0.046 0.091 0.897
Nd 0.954 0.909 0.103
Nd 0.046 0.091 0.603
Nd 0.726 0.453 0.250
Nd 0.274 0.547 0.750
Tm 0.638 0.276 0.459
Tm 0.362 0.724 0.959
Tm 0.638 0.276 0.041
Tm 0.362 0.724 0.541
Tm 0.446 0.892 0.250
Tm 0.554 0.108 0.750
In 0.760 0.520 0.873
In 0.240 0.480 0.373
In 0.760 0.520 0.627
In 0.240 0.480 0.127
CELL_PARAMETERS angstrom
5.096 0.000 0.000
-2.548 5.907 0.000
0.000 0.000 16.634

---

[13]
! Nd3Tm2In4 | the Alexandria database | PBE-GGA | optimized geometry; values from VASP
! Total magnetization, μB per formula unit: 0.0
! E, eV per atom: -4.09
! Space group: C2/c
&SYSTEM
  ibrav = 0, nat = 18, ntyp = 3
/
ATOMIC_SPECIES
Nd 144.24 Nd.upf
Tm 168.93 Tm.upf
In 114.82 In.upf
ATOMIC_POSITIONS crystal
Nd 0.987 0.999 0.230
Nd 0.513 0.770 0.001
Nd 0.013 0.001 0.770
Nd 0.487 0.230 0.999
Nd 0.250 0.550 0.450
Nd 0.750 0.450 0.550
Tm 0.686 0.154 0.404
Tm 0.814 0.596 0.846
Tm 0.314 0.846 0.596
Tm 0.186 0.404 0.154
In 0.448 0.903 0.260
In 0.052 0.740 0.097
In 0.552 0.097 0.740
In 0.948 0.260 0.903
In 0.229 0.202 0.471
In 0.271 0.529 0.798
In 0.771 0.798 0.529
In 0.729 0.471 0.202
CELL_PARAMETERS angstrom
-1.052 6.097 1.447
-0.788 -4.987 8.424
8.934 -2.134 3.476

---

[14]
! Nd7Tm4In | the Alexandria database | PBE-GGA | optimized geometry; values from VASP
! Total magnetization, μB per formula unit: 0.0
! E, eV per atom: -4.46
! Space group: C2/m
&SYSTEM
  ibrav = 0, nat = 12, ntyp = 3
/
ATOMIC_SPECIES
Nd 144.24 Nd.upf
Tm 168.93 Tm.upf
In 114.82 In.upf
ATOMIC_POSITIONS crystal
Nd 0.808 0.547 0.906
Nd 0.192 0.453 0.094
Nd 0.020 0.139 0.722
Nd 0.980 0.861 0.278
Nd 0.429 0.792 0.416
Nd 0.500 0.000 0.000
Nd 0.571 0.208 0.584
Tm 0.654 0.383 0.234
Tm 0.346 0.617 0.766
Tm 0.895 0.707 0.586
Tm 0.105 0.293 0.414
In 0.000 0.000 0.000
CELL_PARAMETERS angstrom
6.182 -1.511 1.089
0.883 5.160 2.130
-0.262 -1.598 11.467

---

[15]
! Nd3Tm4In | the Alexandria database | PBE-GGA | optimized geometry; values from VASP
! Total magnetization, μB per formula unit: 0.0
! E, eV per atom: -4.48
! Space group: Pmn2_1
! Energy above the most stable polymorph in this dataset, meV/atom: 0.0
&SYSTEM
  ibrav = 0, nat = 16, ntyp = 3
/
ATOMIC_SPECIES
Nd 144.24 Nd.upf
Tm 168.93 Tm.upf
In 114.82 In.upf
ATOMIC_POSITIONS crystal
Nd 0.625 0.628 0.000
Nd 0.974 0.617 0.237
Nd 0.474 0.383 0.263
Nd 0.125 0.372 0.500
Nd 0.474 0.383 0.737
Nd 0.974 0.617 0.763
Tm 0.166 0.883 0.000
Tm 0.648 0.127 0.000
Tm 0.988 0.122 0.241
Tm 0.488 0.878 0.259
Tm 0.148 0.873 0.500
Tm 0.666 0.117 0.500
Tm 0.488 0.878 0.741
Tm 0.988 0.122 0.759
In 0.153 0.356 0.000
In 0.653 0.644 0.500
CELL_PARAMETERS angstrom
-2.235 5.655 1.209
-6.536 -2.265 -1.488
-1.454 -2.876 10.769

---

[16]
! NdTm2In2 | the Alexandria database | PBE-GGA | optimized geometry; values from VASP
! Total magnetization, μB per formula unit: 0.0
! E, eV per atom: -4.00
! Space group: I4/mmm
! Energy above the most stable polymorph in this dataset, meV/atom: 0.0
&SYSTEM
  ibrav = 0, nat = 10, ntyp = 3
/
ATOMIC_SPECIES
Nd 144.24 Nd.upf
Tm 168.93 Tm.upf
In 114.82 In.upf
ATOMIC_POSITIONS crystal
Nd 0.634 0.634 0.267
Nd 0.366 0.366 0.733
Tm 0.750 0.250 0.500
Tm 0.927 0.927 0.854
Tm 0.073 0.073 0.146
Tm 0.250 0.750 0.500
In 0.000 0.500 0.000
In 0.176 0.176 0.351
In 0.500 0.000 0.000
In 0.824 0.824 0.649
CELL_PARAMETERS angstrom
4.623 0.000 0.000
0.000 4.623 0.000
-2.311 -2.311 14.257

---

[17]
! Nd3Tm2In2 | the Alexandria database | PBE-GGA | optimized geometry; values from VASP
! Total magnetization, μB per formula unit: 0.0
! E, eV per atom: -4.36
! Space group: C2/m
! Energy above the most stable polymorph in this dataset, meV/atom: 0.0
&SYSTEM
  ibrav = 0, nat = 7, ntyp = 3
/
ATOMIC_SPECIES
Nd 144.24 Nd.upf
Tm 168.93 Tm.upf
In 114.82 In.upf
ATOMIC_POSITIONS crystal
Nd 0.000 0.000 0.000
Nd 0.742 0.483 0.168
Nd 0.258 0.517 0.832
Tm 0.864 0.727 0.554
Tm 0.136 0.273 0.446
In 0.551 0.102 0.708
In 0.449 0.898 0.292
CELL_PARAMETERS angstrom
3.755 -0.004 0.004
-1.869 6.623 -0.328
-0.010 -1.010 8.611

---

[18]
! Nd3Tm3In | the Alexandria database | PBE-GGA | optimized geometry; values from VASP
! Total magnetization, μB per formula unit: 0.0
! E, eV per atom: -4.46
! Space group: P6_3/m
&SYSTEM
  ibrav = 0, nat = 14, ntyp = 3
/
ATOMIC_SPECIES
Nd 144.24 Nd.upf
Tm 168.93 Tm.upf
In 114.82 In.upf
ATOMIC_POSITIONS crystal
Nd 0.250 0.526 0.632
Nd 0.250 0.105 0.473
Nd 0.250 0.368 0.895
Nd 0.750 0.474 0.368
Nd 0.750 0.895 0.527
Nd 0.750 0.632 0.105
Tm 0.750 0.766 0.824
Tm 0.750 0.058 0.234
Tm 0.750 0.176 0.942
Tm 0.250 0.234 0.176
Tm 0.250 0.942 0.766
Tm 0.250 0.824 0.058
In 0.750 0.333 0.667
In 0.250 0.667 0.333
CELL_PARAMETERS angstrom
-4.808 -2.484 -1.370
2.360 0.496 -9.177
2.459 -7.591 5.132

---

[19]
! Nd4Tm3In | the Alexandria database | PBE-GGA | optimized geometry; values from VASP
! Total magnetization, μB per formula unit: 0.0
! E, eV per atom: -4.48
! Space group: Pmn2_1
&SYSTEM
  ibrav = 0, nat = 16, ntyp = 3
/
ATOMIC_SPECIES
Tm 168.93 Tm.upf
Nd 144.24 Nd.upf
In 114.82 In.upf
ATOMIC_POSITIONS crystal
Tm 0.000 0.311 0.000
Tm 0.258 0.061 0.750
Tm 0.742 0.561 0.750
Tm 0.000 0.811 0.500
Tm 0.742 0.561 0.250
Tm 0.258 0.061 0.250
Nd 0.999 0.811 0.000
Nd 0.500 0.310 0.000
Nd 0.754 0.061 0.750
Nd 0.246 0.561 0.750
Nd 0.500 0.810 0.500
Nd 0.001 0.311 0.500
Nd 0.246 0.561 0.250
Nd 0.754 0.061 0.250
In 0.500 0.811 0.000
In 0.500 0.311 0.500
CELL_PARAMETERS angstrom
7.008 0.000 0.000
0.000 7.084 0.000
0.000 0.000 10.101

---

[20]
! Nd6TmIn4 | the Alexandria database | PBE-GGA | optimized geometry; values from VASP
! Total magnetization, μB per formula unit: 0.0
! E, eV per atom: -4.12
! Space group: I-42m
&SYSTEM
  ibrav = 0, nat = 11, ntyp = 3
/
ATOMIC_SPECIES
Nd 144.24 Nd.upf
Tm 168.93 Tm.upf
In 114.82 In.upf
ATOMIC_POSITIONS crystal
Nd 0.000 0.908 0.528
Nd 0.000 0.528 0.908
Nd 0.620 0.092 0.092
Nd 0.500 0.000 0.500
Nd 0.380 0.472 0.472
Nd 0.500 0.500 0.000
Tm 0.000 0.000 0.000
In 0.000 0.273 0.594
In 0.680 0.406 0.406
In 0.000 0.594 0.273
In 0.320 0.727 0.727
CELL_PARAMETERS angstrom
-1.414 2.611 -7.690
6.400 -4.814 1.953
-4.620 -5.766 3.657